1.
Computed, not measured: Co2ReNi after structural relaxation at the PBE level of DFT.

Summary:
Fermi-level density of states, states/eV/f.u.: 4.84
Energy of formation, meV per atom: 78
DFT total energy, eV/cell: -32.13

Geometry as POSCAR:
```
Co2ReNi
1.0
2.5988 -0.0122 0.0000
0.0119 2.5988 0.0000
0.0000 0.0000 7.0365
Co Ni Re
2 1 1
direct
0.0000 0.0000 0.4888
0.0000 0.0000 0.0112
0.5000 0.5000 0.2500
0.5000 0.5000 0.7500
```

2.
Computed, not measured: TaPd8Pt2 after structural relaxation at the PBE level of DFT.

Summary:
Fermi-level density of states, states/eV/f.u.: 9.85
Energy of formation, meV per atom: -108
DFT total energy, eV/cell: -66.66

Geometry as POSCAR:
```
TaPd8Pt2
1.0
-2.9343 -3.4428 -0.8094
1.0890 0.6103 6.5014
-5.1225 3.4015 4.1017
Pd Pt Ta
8 2 1
direct
0.0723 0.1447 0.1079
0.5750 0.1501 0.5905
0.8272 0.6545 0.3358
0.4250 0.8499 0.4095
0.1728 0.3455 0.6642
0.9277 0.8553 0.8921
0.3233 0.6466 0.8474
0.6767 0.3534 0.1526
0.2495 0.4990 0.2561
0.7505 0.5010 0.7439
0.5000 0.0000 0.0000
```

3.
Computed, not measured: LiMgAl3 after structural relaxation at the PBE level of DFT.

Summary:
Fermi-level density of states, states/eV/f.u.: 2.08
Energy of formation, meV per atom: 52
DFT total energy, eV/cell: -28.95

Geometry as POSCAR:
```
LiMgAl3
1.0
5.2109 0.0000 -1.2933
0.0000 5.2408 0.0000
-0.8791 0.0000 7.6021
Al Li Mg
6 2 2
direct
0.0000 0.5000 0.0000
0.6071 0.2500 0.7241
0.8830 0.7500 0.2759
0.1170 0.2500 0.7241
0.3929 0.7500 0.2759
0.0000 0.0000 0.0000
0.5521 0.2500 0.1043
0.4479 0.7500 0.8957
0.8155 0.7500 0.6309
0.1845 0.2500 0.3691
```

4.
Computed, not measured: Sc2InHRu after structural relaxation at the PBE level of DFT.

Summary:
Fermi-level density of states, states/eV/f.u.: 2.11
DFT total energy, eV/cell: -30.42

Geometry as POSCAR:
```
Sc2InHRu
1.0
4.6740 0.0000 0.0000
0.0000 4.6740 0.0000
0.0000 0.0000 3.6312
H In Sc Ru
1 1 2 1
direct
0.0000 0.0000 0.0000
0.5000 0.5000 0.5000
0.0000 0.5000 0.0000
0.5000 0.0000 0.0000
0.0000 0.0000 0.5000
```

5.
Computed, not measured: CrHg2I after structural relaxation at the PBE level of DFT.

Summary:
Fermi-level density of states, states/eV/f.u.: 1.42
DFT total energy, eV/cell: -45.15

Geometry as POSCAR:
```
CrHg2I
1.0
-0.2879 -10.0573 1.6666
1.6716 0.5924 3.8636
-10.3761 15.4079 2.1269
Hg I Cr
8 4 4
direct
0.9211 0.5000 0.0678
0.2167 0.0000 0.4630
0.2167 0.5000 0.9630
0.7786 0.0000 0.1954
0.9620 0.5000 0.4555
0.7786 0.5000 0.6954
0.9620 0.0000 0.9555
0.9211 0.0000 0.5678
0.4121 0.0000 0.8888
0.4121 0.5000 0.3888
0.4690 0.0000 0.2280
0.4690 0.5000 0.7280
0.6158 0.5000 0.2111
0.5970 0.0000 0.5373
0.5970 0.5000 0.0373
0.6158 0.0000 0.7111
```

6.
Computed, not measured: TcOsS2Cl after structural relaxation at the PBE level of DFT.

Summary:
Fermi-level density of states, states/eV/f.u.: 4.07
DFT total energy, eV/cell: -26.79

Geometry as POSCAR:
```
TcOsS2Cl
1.0
4.6141 0.0000 0.0000
0.0000 4.6141 0.0000
0.0000 0.0000 4.8564
S Os Cl Tc
2 1 1 1
direct
0.0000 0.5000 0.0000
0.5000 0.0000 0.0000
0.0000 0.0000 0.0000
0.0000 0.0000 0.5000
0.5000 0.5000 0.5000
```